1.
! CrSbPO2 | the Alexandria database | PBE with a Hubbard U | relaxed; values from VASP
! Symmetry: P4/mmm
! Total energy, Ry per atom: -0.43194
! Offset from the most stable computed form, eV/atom: 0.000
! Density, g/cm3: 5.4
&SYSTEM
  ibrav = 0, nat = 5, ntyp = 4
/
ATOMIC_SPECIES
Sb 121.76 Sb.upf
P 30.97 P.upf
Cr 52.00 Cr.upf
O 16.00 O.upf
ATOMIC_POSITIONS crystal
Sb 0.5000 0.5000 0.5000
P 0.0000 0.0000 0.5000
Cr 0.0000 0.0000 0.0000
O 0.5000 0.0000 0.0000
O 0.0000 0.5000 0.0000
CELL_PARAMETERS angstrom
3.8419 0.0000 0.0000
0.0000 3.8419 0.0000
0.0000 0.0000 4.9370

---

2.
! Cr3SbP4O16 | the Alexandria database | PBE with a Hubbard U | relaxed; values from VASP
! Symmetry: Pm
! Total energy, Ry per atom: -0.53782
! Density, g/cm3: 3.7
&SYSTEM
  ibrav = 0, nat = 24, ntyp = 4
/
ATOMIC_SPECIES
O 16.00 O.upf
Sb 121.76 Sb.upf
P 30.97 P.upf
Cr 52.00 Cr.upf
ATOMIC_POSITIONS crystal
O 0.6720 0.0704 0.7500
O 0.3125 0.6589 0.0497
O 0.3125 0.6589 0.4502
O 0.7325 0.3187 0.9570
O 0.2335 0.1639 0.0464
O 0.7996 0.5366 0.7500
O 0.1876 0.3751 0.7500
O 0.7398 0.8527 0.9594
O 0.2335 0.1639 0.4536
O 0.1531 0.4415 0.2500
O 0.3207 0.9412 0.2500
O 0.7325 0.3187 0.5430
O 0.7398 0.8527 0.5406
O 0.2920 0.9015 0.7500
O 0.6927 0.1127 0.2500
O 0.8468 0.6405 0.2500
Sb 0.0519 0.7240 0.7500
P 0.1399 0.5907 0.2500
P 0.8786 0.3933 0.7500
P 0.3840 0.0892 0.2500
P 0.6012 0.9243 0.7500
Cr 0.4371 0.2249 0.7500
Cr 0.9439 0.2647 0.2500
Cr 0.5621 0.7809 0.2500
CELL_PARAMETERS angstrom
4.8920 0.0158 0.0000
-0.1509 10.1465 0.0001
0.0000 0.0000 5.8699

---

3.
! CrSbP2O | the Alexandria database | PBE with a Hubbard U | relaxed; values from VASP
! Symmetry: P4/mmm
! Total energy, Ry per atom: -0.36978
! Offset from the most stable computed form, eV/atom: 0.424
! Density, g/cm3: 4.1
&SYSTEM
  ibrav = 0, nat = 5, ntyp = 4
/
ATOMIC_SPECIES
Cr 52.00 Cr.upf
O 16.00 O.upf
P 30.97 P.upf
Sb 121.76 Sb.upf
ATOMIC_POSITIONS crystal
Cr 0.5000 0.5000 0.5000
O 0.0000 0.0000 0.5000
P 0.5000 0.0000 0.0000
P 0.0000 0.5000 0.0000
Sb 0.0000 0.0000 0.0000
CELL_PARAMETERS angstrom
5.1109 0.0000 0.0000
0.0000 5.1109 0.0000
0.0000 0.0000 3.9180

---

4.
! Ti3CrSb2P6O24 | the Alexandria database | PBE with a Hubbard U | relaxed; values from VASP
! Symmetry: R3
! Total energy, Ry per atom: -0.55215
! Density, g/cm3: 3.4
&SYSTEM
  ibrav = 0, nat = 36, ntyp = 5
/
ATOMIC_SPECIES
O 16.00 O.upf
Ti 47.87 Ti.upf
P 30.97 P.upf
Sb 121.76 Sb.upf
Cr 52.00 Cr.upf
ATOMIC_POSITIONS crystal
O 0.5545 0.4336 0.7907
O 0.0179 0.6289 0.7706
O 0.3842 0.2020 0.9981
O 0.8632 0.4882 0.7374
O 0.9167 0.0817 0.2762
O 0.5130 0.2627 0.1392
O 0.4336 0.7907 0.5545
O 0.2762 0.9167 0.0817
O 0.9981 0.3842 0.2020
O 0.7362 0.0816 0.9247
O 0.4422 0.5636 0.2119
O 0.1392 0.5130 0.2627
O 0.7374 0.8632 0.4882
O 0.5636 0.2119 0.4422
O 0.9247 0.7362 0.0816
O 0.7907 0.5545 0.4336
O 0.2020 0.9981 0.3842
O 0.6289 0.7706 0.0179
O 0.2627 0.1392 0.5130
O 0.2119 0.4422 0.5636
O 0.0817 0.2762 0.9167
O 0.7706 0.0179 0.6289
O 0.4882 0.7374 0.8632
O 0.0816 0.9247 0.7362
Ti 0.1454 0.1454 0.1454
Ti 0.6504 0.6504 0.6504
Ti 0.3521 0.3521 0.3521
P 0.7497 0.0391 0.4630
P 0.4630 0.7497 0.0391
P 0.9658 0.5371 0.2509
P 0.0391 0.4630 0.7497
P 0.5371 0.2509 0.9658
P 0.2509 0.9658 0.5371
Sb 0.4982 0.4982 0.4982
Sb 0.9818 0.9818 0.9818
Cr 0.8473 0.8473 0.8473
CELL_PARAMETERS angstrom
9.1234 0.1980 0.1384
4.9380 7.6741 0.1384
4.9380 2.7645 7.1602

---

5.
! V3CrSb2P6O24 | the Alexandria database | PBE with a Hubbard U | relaxed; values from VASP
! Symmetry: R3
! Total energy, Ry per atom: -0.53570
! Density, g/cm3: 3.5
&SYSTEM
  ibrav = 0, nat = 36, ntyp = 5
/
ATOMIC_SPECIES
Sb 121.76 Sb.upf
O 16.00 O.upf
V 50.94 V.upf
P 30.97 P.upf
Cr 52.00 Cr.upf
ATOMIC_POSITIONS crystal
Sb 0.0016 0.0016 0.0016
Sb 0.5042 0.5042 0.5042
O 0.7659 0.4170 0.5603
O 0.9207 0.2647 0.0600
O 0.9904 0.2003 0.3810
O 0.0086 0.8032 0.6142
O 0.5603 0.7659 0.4170
O 0.9381 0.0854 0.7308
O 0.4170 0.5603 0.7659
O 0.4318 0.2337 0.5881
O 0.0600 0.9207 0.2647
O 0.7308 0.9381 0.0854
O 0.0854 0.7308 0.9381
O 0.6142 0.0086 0.8032
O 0.2647 0.0600 0.9207
O 0.2337 0.5881 0.4318
O 0.8032 0.6142 0.0086
O 0.5881 0.4318 0.2337
O 0.4885 0.8838 0.7017
O 0.7017 0.4885 0.8838
O 0.3810 0.9904 0.2003
O 0.1137 0.3062 0.5055
O 0.2003 0.3810 0.9904
O 0.3062 0.5055 0.1137
O 0.5055 0.1137 0.3062
O 0.8838 0.7017 0.4885
V 0.8537 0.8537 0.8537
V 0.6476 0.6476 0.6476
V 0.3546 0.3546 0.3546
P 0.9612 0.2501 0.5368
P 0.2501 0.5368 0.9612
P 0.7516 0.4581 0.0406
P 0.5368 0.9612 0.2501
P 0.0406 0.7516 0.4581
P 0.4581 0.0406 0.7516
Cr 0.1462 0.1462 0.1462
CELL_PARAMETERS angstrom
-4.5045 -7.3322 2.1146
1.8158 -7.7787 -3.8364
3.8095 -6.5877 4.5402

---

6.
! ScCrP2O8 | the Alexandria database | PBE with a Hubbard U | relaxed; values from VASP
! Symmetry: I-4m2
! Total energy, Ry per atom: -0.56854
! Density, g/cm3: 3.8
&SYSTEM
  ibrav = 0, nat = 12, ntyp = 4
/
ATOMIC_SPECIES
Sc 44.96 Sc.upf
O 16.00 O.upf
Cr 52.00 Cr.upf
P 30.97 P.upf
ATOMIC_POSITIONS crystal
Sc 0.2500 0.7500 0.5000
O 0.9213 0.2389 0.3176
O 0.4874 0.6689 0.8185
O 0.7611 0.0787 0.6824
O 0.3963 0.0787 0.3176
O 0.9213 0.6037 0.6824
O 0.8504 0.6689 0.1815
O 0.3311 0.5126 0.1815
O 0.3311 0.1496 0.8185
Cr 0.0000 0.0000 0.0000
P 0.5000 0.5000 0.0000
P 0.7500 0.2500 0.5000
CELL_PARAMETERS angstrom
-0.2955 4.5919 -2.9664
-3.0852 -0.0576 4.5222
5.2012 -0.4791 1.6401

---

7.
! ScCrP2O | the Alexandria database | PBE with a Hubbard U | relaxed; values from VASP
! Symmetry: P4/mmm
! Total energy, Ry per atom: -0.46749
! Offset from the most stable computed form, eV/atom: 0.000
! Density, g/cm3: 3.5
&SYSTEM
  ibrav = 0, nat = 5, ntyp = 4
/
ATOMIC_SPECIES
P 30.97 P.upf
Cr 52.00 Cr.upf
Sc 44.96 Sc.upf
O 16.00 O.upf
ATOMIC_POSITIONS crystal
P 0.5000 0.0000 0.0000
P 0.0000 0.5000 0.0000
Cr 0.0000 0.0000 0.0000
Sc 0.5000 0.5000 0.5000
O 0.0000 0.0000 0.5000
CELL_PARAMETERS angstrom
4.8120 0.0000 0.0000
0.0000 4.8120 0.0000
0.0000 0.0000 3.5464

---

8.
! ScCrP2O | the Alexandria database | PBE with a Hubbard U | relaxed; values from VASP
! Symmetry: P4/mmm
! Total energy, Ry per atom: -0.41541
! Offset from the most stable computed form, eV/atom: 0.709
! Density, g/cm3: 2.9
&SYSTEM
  ibrav = 0, nat = 5, ntyp = 4
/
ATOMIC_SPECIES
O 16.00 O.upf
P 30.97 P.upf
Cr 52.00 Cr.upf
Sc 44.96 Sc.upf
ATOMIC_POSITIONS crystal
O 0.0000 0.0000 0.5000
P 0.0000 0.5000 0.0000
P 0.5000 0.0000 0.0000
Cr 0.5000 0.5000 0.5000
Sc 0.0000 0.0000 0.0000
CELL_PARAMETERS angstrom
-1.7589 3.2576 -3.5818
1.4368 -3.2879 -3.6959
-3.3929 -1.6592 0.1571

---

9.
! ScCrPO2 | the Alexandria database | PBE with a Hubbard U | relaxed; values from VASP
! Symmetry: P4/mmm
! Total energy, Ry per atom: -0.49825
! Offset from the most stable computed form, eV/atom: 0.220
! Density, g/cm3: 3.1
&SYSTEM
  ibrav = 0, nat = 5, ntyp = 4
/
ATOMIC_SPECIES
Sc 44.96 Sc.upf
P 30.97 P.upf
O 16.00 O.upf
Cr 52.00 Cr.upf
ATOMIC_POSITIONS crystal
Sc 0.0000 0.0000 0.0000
P 0.0000 0.0000 0.5000
O 0.0000 0.5000 0.0000
O 0.5000 0.0000 0.0000
Cr 0.5000 0.5000 0.5000
CELL_PARAMETERS angstrom
3.9544 0.0000 0.0000
0.0000 3.9544 0.0000
0.0000 0.0000 5.4909

---

10.
! ScCrPO2 | the Alexandria database | PBE with a Hubbard U | relaxed; values from VASP
! Symmetry: P4/mmm
! Total energy, Ry per atom: -0.51439
! Offset from the most stable computed form, eV/atom: 0.000
! Density, g/cm3: 3.8
&SYSTEM
  ibrav = 0, nat = 5, ntyp = 4
/
ATOMIC_SPECIES
Cr 52.00 Cr.upf
P 30.97 P.upf
O 16.00 O.upf
Sc 44.96 Sc.upf
ATOMIC_POSITIONS crystal
Cr 0.0000 0.0000 0.0000
P 0.0000 0.0000 0.5000
O 0.0000 0.5000 0.0000
O 0.5000 0.0000 0.0000
Sc 0.5000 0.5000 0.5000
CELL_PARAMETERS angstrom
3.7535 0.0000 0.0000
0.0000 3.7535 0.0000
0.0000 0.0000 4.9688

---

11.
! CrSiP2O | the Alexandria database | PBE with a Hubbard U | relaxed; values from VASP
! Symmetry: P4/mmm
! Total energy, Ry per atom: -0.40060
! Offset from the most stable computed form, eV/atom: 0.063
! Density, g/cm3: 3.3
&SYSTEM
  ibrav = 0, nat = 5, ntyp = 4
/
ATOMIC_SPECIES
Cr 52.00 Cr.upf
P 30.97 P.upf
O 16.00 O.upf
Si 28.09 Si.upf
ATOMIC_POSITIONS crystal
Cr 0.0000 0.0000 0.0000
P 0.5000 0.0000 0.0000
P 0.0000 0.5000 0.0000
O 0.0000 0.0000 0.5000
Si 0.5000 0.5000 0.5000
CELL_PARAMETERS angstrom
4.7659 0.0000 0.0000
0.0000 4.7659 0.0000
0.0000 0.0000 3.5179

---

12.
! CrSiPO2 | the Alexandria database | PBE with a Hubbard U | relaxed; values from VASP
! Symmetry: P4/mmm
! Total energy, Ry per atom: -0.44370
! Offset from the most stable computed form, eV/atom: 0.539
! Density, g/cm3: 3.5
&SYSTEM
  ibrav = 0, nat = 5, ntyp = 4
/
ATOMIC_SPECIES
P 30.97 P.upf
O 16.00 O.upf
Cr 52.00 Cr.upf
Si 28.09 Si.upf
ATOMIC_POSITIONS crystal
P 0.0000 0.0000 0.5000
O 0.5000 0.0000 0.0000
O 0.0000 0.5000 0.0000
Cr 0.0000 0.0000 0.0000
Si 0.5000 0.5000 0.5000
CELL_PARAMETERS angstrom
-1.4600 -0.9239 3.2095
-2.5139 -2.0021 -1.7199
3.1197 -4.1179 0.2337

---

Repeat the eighth record exactly.
! ScCrP2O | the Alexandria database | PBE with a Hubbard U | relaxed; values from VASP
! Symmetry: P4/mmm
! Total energy, Ry per atom: -0.41541
! Offset from the most stable computed form, eV/atom: 0.709
! Density, g/cm3: 2.9
&SYSTEM
  ibrav = 0, nat = 5, ntyp = 4
/
ATOMIC_SPECIES
O 16.00 O.upf
P 30.97 P.upf
Cr 52.00 Cr.upf
Sc 44.96 Sc.upf
ATOMIC_POSITIONS crystal
O 0.0000 0.0000 0.5000
P 0.0000 0.5000 0.0000
P 0.5000 0.0000 0.0000
Cr 0.5000 0.5000 0.5000
Sc 0.0000 0.0000 0.0000
CELL_PARAMETERS angstrom
-1.7589 3.2576 -3.5818
1.4368 -3.2879 -3.6959
-3.3929 -1.6592 0.1571

---

Which of these has the lowest density? number 8

---

Which formula does entry 8 have? ScCrP2O

---

Look up the density of the fifth one. 3.5 g/cm3